Record 1
! Be2TlIr (PBE-GGA, optimized geometry); values from VASP
&SYSTEM
  ibrav = 0, nat = 4, ntyp = 3
/
ATOMIC_SPECIES
Be 9.01 Be.upf
Tl 204.38 Tl.upf
Ir 192.22 Ir.upf
ATOMIC_POSITIONS angstrom
Be 0.388 0.226 0.120
Be 1.109 0.741 2.233
Tl 4.124 0.162 3.118
Ir 2.469 -0.410 0.726
CELL_PARAMETERS angstrom
-1.032 -0.068 3.470
1.141 -2.640 0.287
4.941 3.165 1.531
! symmetry = Pm
! energy of formation = 0.080 eV per atom
! size of the total moment = 0.0 Bohr magnetons per cell
! energy above the lowest structure with this stoichiometry = 0.1338 eV/atom
! VASP energy = -4.590 eV per atom


Record 2
! BeTl2Ir (PBE-GGA, optimized geometry); values from VASP
&SYSTEM
  ibrav = 0, nat = 4, ntyp = 3
/
ATOMIC_SPECIES
Be 9.01 Be.upf
Tl 204.38 Tl.upf
Ir 192.22 Ir.upf
ATOMIC_POSITIONS angstrom
Be 2.332 0.022 1.748
Tl 0.000 0.000 0.000
Tl 1.799 2.293 0.000
Ir -0.534 2.270 1.748
CELL_PARAMETERS angstrom
4.664 0.044 0.000
-1.067 4.541 0.000
0.000 0.000 3.497
! symmetry = Cmmm
! energy of formation = 0.735 eV per atom
! size of the total moment = 0.0 Bohr magnetons per cell
! energy above the lowest structure with this stoichiometry = 0.6416 eV/atom
! VASP energy = -3.595 eV per atom


Record 3
! Be2TlIr (PBE-GGA, optimized geometry); values from VASP
&SYSTEM
  ibrav = 0, nat = 4, ntyp = 3
/
ATOMIC_SPECIES
Be 9.01 Be.upf
Tl 204.38 Tl.upf
Ir 192.22 Ir.upf
ATOMIC_POSITIONS angstrom
Be -3.585 1.374 6.274
Be -1.903 1.555 3.938
Tl -2.113 3.594 5.745
Ir -0.704 1.198 1.915
CELL_PARAMETERS angstrom
-3.436 0.966 2.240
-0.644 -0.433 4.142
1.262 4.258 1.278
! symmetry = C2/m
! energy of formation = 0.100 eV per atom
! size of the total moment = 0.0 Bohr magnetons per cell
! energy above the lowest structure with this stoichiometry = 0.1535 eV/atom
! VASP energy = -4.570 eV per atom


Record 4
! BeTl2Ir (PBE-GGA, optimized geometry); values from VASP
&SYSTEM
  ibrav = 0, nat = 4, ntyp = 3
/
ATOMIC_SPECIES
Be 9.01 Be.upf
Tl 204.38 Tl.upf
Ir 192.22 Ir.upf
ATOMIC_POSITIONS angstrom
Be 0.884 1.422 2.150
Tl 0.000 0.000 0.085
Tl 0.000 0.000 4.215
Ir 0.884 1.422 6.451
CELL_PARAMETERS angstrom
3.154 0.012 0.000
-1.387 2.833 0.000
0.000 0.000 8.601
! symmetry = Cmmm
! energy of formation = 0.814 eV per atom
! size of the total moment = 0.0 Bohr magnetons per cell
! energy above the lowest structure with this stoichiometry = 0.7210 eV/atom
! VASP energy = -3.516 eV per atom


Record 5
! BeTl2Ir2 (PBE-GGA, optimized geometry); values from VASP
&SYSTEM
  ibrav = 0, nat = 10, ntyp = 3
/
ATOMIC_SPECIES
Be 9.01 Be.upf
Tl 204.38 Tl.upf
Ir 192.22 Ir.upf
ATOMIC_POSITIONS angstrom
Be 0.000 0.000 0.000
Be -5.017 2.120 -0.677
Tl -6.944 -0.011 -1.214
Tl -7.157 4.101 -0.864
Tl -3.091 4.251 -0.139
Tl -2.878 0.138 -0.490
Ir -5.197 -1.006 0.590
Ir -8.234 1.935 0.337
Ir -5.373 4.957 1.122
Ir -2.336 2.016 1.375
CELL_PARAMETERS angstrom
-3.001 7.157 0.150
-7.034 -2.917 -1.504
-0.536 -0.289 3.065
! symmetry = P4/mbm
! energy of formation = 0.863 eV per atom
! size of the total moment = 0.0 Bohr magnetons per cell
! energy above the lowest structure with this stoichiometry = 0.6036 eV/atom
! VASP energy = -4.373 eV per atom


Record 6
! BeTl2Ir (PBE-GGA, optimized geometry); values from VASP
&SYSTEM
  ibrav = 0, nat = 4, ntyp = 3
/
ATOMIC_SPECIES
Be 9.01 Be.upf
Tl 204.38 Tl.upf
Ir 192.22 Ir.upf
ATOMIC_POSITIONS angstrom
Be 6.990 2.607 3.698
Tl 9.306 3.471 4.911
Tl 4.674 1.744 2.484
Ir 2.330 0.869 1.233
CELL_PARAMETERS angstrom
4.793 -0.001 -0.022
3.622 3.140 -0.022
0.906 0.338 4.974
! symmetry = C2/m
! energy of formation = 0.715 eV per atom
! size of the total moment = 0.0 Bohr magnetons per cell
! energy above the lowest structure with this stoichiometry = 0.6218 eV/atom
! VASP energy = -3.615 eV per atom


Record 7
! BeTl2Ir (PBE-GGA, optimized geometry); values from VASP
&SYSTEM
  ibrav = 0, nat = 4, ntyp = 3
/
ATOMIC_SPECIES
Be 9.01 Be.upf
Tl 204.38 Tl.upf
Ir 192.22 Ir.upf
ATOMIC_POSITIONS angstrom
Be 12.377 2.281 1.347
Tl 0.397 0.073 0.043
Tl 5.953 1.097 0.648
Ir 19.728 3.636 2.147
CELL_PARAMETERS angstrom
8.940 -0.011 -0.007
8.348 3.198 -0.007
8.348 1.539 2.803
! symmetry = R3m
! energy of formation = 0.319 eV per atom
! size of the total moment = 0.0 Bohr magnetons per cell
! energy above the lowest structure with this stoichiometry = 0.2259 eV/atom
! VASP energy = -4.011 eV per atom


Record 8
! Be2TlIr (PBE-GGA, optimized geometry); values from VASP
&SYSTEM
  ibrav = 0, nat = 4, ntyp = 3
/
ATOMIC_SPECIES
Be 9.01 Be.upf
Tl 204.38 Tl.upf
Ir 192.22 Ir.upf
ATOMIC_POSITIONS angstrom
Be 0.000 0.000 0.000
Be 0.327 1.512 2.166
Tl 0.981 4.536 6.499
Ir 0.654 3.024 4.333
CELL_PARAMETERS angstrom
-0.238 4.045 1.574
-1.303 0.666 4.093
2.850 1.336 2.998
! symmetry = F-43m
! energy of formation = 0.560 eV per atom
! size of the total moment = 0.0 Bohr magnetons per cell
! energy above the lowest structure with this stoichiometry = 0.6137 eV/atom
! VASP energy = -4.110 eV per atom


Record 9
! BeTlIr4 (PBE-GGA, optimized geometry); values from VASP
&SYSTEM
  ibrav = 0, nat = 6, ntyp = 3
/
ATOMIC_SPECIES
Be 9.01 Be.upf
Tl 204.38 Tl.upf
Ir 192.22 Ir.upf
ATOMIC_POSITIONS angstrom
Be 0.000 0.000 0.000
Tl 5.546 5.546 5.546
Ir 4.625 2.769 4.625
Ir 2.769 4.625 4.625
Ir 4.625 4.625 2.769
Ir 2.769 2.769 2.769
CELL_PARAMETERS angstrom
0.000 3.697 3.697
3.697 0.000 3.697
3.697 3.697 0.000
! symmetry = F-43m
! energy of formation = 0.653 eV per atom
! size of the total moment = 0.0 Bohr magnetons per cell
! VASP energy = -6.270 eV per atom


Record 10
! BeTl2Ir (PBE-GGA, optimized geometry); values from VASP
&SYSTEM
  ibrav = 0, nat = 4, ntyp = 3
/
ATOMIC_SPECIES
Be 9.01 Be.upf
Tl 204.38 Tl.upf
Ir 192.22 Ir.upf
ATOMIC_POSITIONS angstrom
Be 2.110 -3.553 1.047
Tl 0.000 0.000 0.000
Tl 1.964 -0.774 2.092
Ir -0.499 -2.329 1.777
CELL_PARAMETERS angstrom
-0.353 -5.108 0.732
4.573 -1.998 1.362
-2.754 4.002 1.776
! symmetry = I-4m2
! energy of formation = 0.661 eV per atom
! size of the total moment = 0.0 Bohr magnetons per cell
! energy above the lowest structure with this stoichiometry = 0.5685 eV/atom
! VASP energy = -3.669 eV per atom


Record 11
! BeTl2Ir (PBE-GGA, optimized geometry); values from VASP
&SYSTEM
  ibrav = 0, nat = 4, ntyp = 3
/
ATOMIC_SPECIES
Be 9.01 Be.upf
Tl 204.38 Tl.upf
Ir 192.22 Ir.upf
ATOMIC_POSITIONS angstrom
Be 0.785 -2.667 -3.690
Tl 1.889 -4.267 -5.886
Tl 0.723 -2.908 -0.728
Ir 1.760 -4.492 -2.901
CELL_PARAMETERS angstrom
-0.069 -3.127 2.245
-1.612 -2.206 -3.123
3.702 -2.277 -3.057
! symmetry = Amm2
! energy of formation = 0.237 eV per atom
! size of the total moment = 0.0 Bohr magnetons per cell
! energy above the lowest structure with this stoichiometry = 0.1444 eV/atom
! VASP energy = -4.093 eV per atom


Record 12
! Be2TlIr (PBE-GGA, optimized geometry); values from VASP
&SYSTEM
  ibrav = 0, nat = 4, ntyp = 3
/
ATOMIC_SPECIES
Be 9.01 Be.upf
Tl 204.38 Tl.upf
Ir 192.22 Ir.upf
ATOMIC_POSITIONS angstrom
Be 0.000 2.555 0.608
Be 0.000 2.600 2.860
Tl 1.467 3.325 5.264
Ir 1.467 1.108 1.755
CELL_PARAMETERS angstrom
2.934 0.000 0.000
0.000 2.939 -0.041
0.000 1.495 7.059
! symmetry = P2/m
! energy of formation = -0.053 eV per atom
! size of the total moment = 0.0 Bohr magnetons per cell
! energy above the lowest structure with this stoichiometry = 0.0000 eV/atom
! VASP energy = -4.723 eV per atom


Record 13
! BeTl3Ir (PBE-GGA, optimized geometry); values from VASP
&SYSTEM
  ibrav = 0, nat = 5, ntyp = 3
/
ATOMIC_SPECIES
Be 9.01 Be.upf
Tl 204.38 Tl.upf
Ir 192.22 Ir.upf
ATOMIC_POSITIONS angstrom
Be 0.000 0.000 0.000
Tl 0.000 2.424 0.000
Tl 0.000 0.000 2.424
Tl 2.424 0.000 0.000
Ir 2.424 2.424 2.424
CELL_PARAMETERS angstrom
4.847 0.000 0.000
0.000 4.847 0.000
0.000 0.000 4.847
! symmetry = Pm-3m
! energy of formation = 0.972 eV per atom
! size of the total moment = 0.0 Bohr magnetons per cell
! energy above the lowest structure with this stoichiometry = 0.2962 eV/atom
! VASP energy = -2.965 eV per atom


Record 14
! Be2TlIr (PBE-GGA, optimized geometry); values from VASP
&SYSTEM
  ibrav = 0, nat = 4, ntyp = 3
/
ATOMIC_SPECIES
Be 9.01 Be.upf
Tl 204.38 Tl.upf
Ir 192.22 Ir.upf
ATOMIC_POSITIONS angstrom
Be -2.170 0.734 -6.394
Be -1.531 0.138 -1.992
Tl -4.702 0.394 -5.923
Ir -2.360 0.368 -4.103
CELL_PARAMETERS angstrom
-0.831 2.334 -2.990
-0.425 -1.478 -3.565
-5.083 -0.338 -1.349
! symmetry = Cm
! energy of formation = -0.027 eV per atom
! size of the total moment = 0.0 Bohr magnetons per cell
! energy above the lowest structure with this stoichiometry = 0.0260 eV/atom
! VASP energy = -4.697 eV per atom


Record 15
! BeTl2Ir2 (PBE-GGA, optimized geometry); values from VASP
&SYSTEM
  ibrav = 0, nat = 10, ntyp = 3
/
ATOMIC_SPECIES
Be 9.01 Be.upf
Tl 204.38 Tl.upf
Ir 192.22 Ir.upf
ATOMIC_POSITIONS angstrom
Be 0.000 0.000 0.000
Be 3.134 3.134 0.000
Tl 1.064 4.199 2.241
Tl 4.199 5.205 2.241
Tl 5.205 2.070 2.241
Tl 2.070 1.064 2.241
Ir 2.177 5.311 0.000
Ir 5.311 4.092 0.000
Ir 4.092 0.957 0.000
Ir 0.957 2.177 0.000
CELL_PARAMETERS angstrom
6.269 0.000 0.000
0.000 6.269 0.000
0.000 0.000 4.482
! symmetry = P4/mbm
! energy of formation = 0.260 eV per atom
! size of the total moment = 0.0 Bohr magnetons per cell
! energy above the lowest structure with this stoichiometry = 0.0000 eV/atom
! VASP energy = -4.976 eV per atom


Record 16
! Be2TlIr (PBE-GGA, optimized geometry); values from VASP
&SYSTEM
  ibrav = 0, nat = 4, ntyp = 3
/
ATOMIC_SPECIES
Be 9.01 Be.upf
Tl 204.38 Tl.upf
Ir 192.22 Ir.upf
ATOMIC_POSITIONS angstrom
Be 0.000 0.000 0.000
Be -1.315 -0.896 2.241
Tl 0.545 0.886 2.543
Ir -2.036 1.585 3.178
CELL_PARAMETERS angstrom
-0.176 3.366 3.481
-3.896 -0.197 2.875
3.302 -3.179 -1.572
! symmetry = I-4m2
! energy of formation = 0.279 eV per atom
! size of the total moment = 0.0 Bohr magnetons per cell
! energy above the lowest structure with this stoichiometry = 0.3327 eV/atom
! VASP energy = -4.391 eV per atom


Record 17
! BeTl2Ir (PBE-GGA, optimized geometry); values from VASP
&SYSTEM
  ibrav = 0, nat = 8, ntyp = 3
/
ATOMIC_SPECIES
Be 9.01 Be.upf
Tl 204.38 Tl.upf
Ir 192.22 Ir.upf
ATOMIC_POSITIONS angstrom
Be -1.710 -3.371 -3.697
Be -2.110 -7.346 -3.668
Tl -3.665 -1.669 -4.199
Tl -0.816 -5.459 -2.352
Tl -4.130 -5.774 -4.313
Tl -5.891 -8.869 -7.947
Ir 0.000 0.000 0.000
Ir -5.141 -3.540 -5.738
CELL_PARAMETERS angstrom
-4.741 0.435 -5.766
1.321 -7.178 -1.628
-3.831 -4.144 -2.012
! symmetry = I-42d
! energy of formation = 0.864 eV per atom
! size of the total moment = 0.0 Bohr magnetons per cell
! energy above the lowest structure with this stoichiometry = 0.7708 eV/atom
! VASP energy = -3.466 eV per atom


Record 18
! BeTl2Ir (PBE-GGA, optimized geometry); values from VASP
&SYSTEM
  ibrav = 0, nat = 4, ntyp = 3
/
ATOMIC_SPECIES
Be 9.01 Be.upf
Tl 204.38 Tl.upf
Ir 192.22 Ir.upf
ATOMIC_POSITIONS angstrom
Be -2.608 5.521 0.970
Tl -10.391 21.994 3.863
Tl -5.258 11.130 1.955
Ir -7.824 16.562 2.909
CELL_PARAMETERS angstrom
-2.210 7.727 2.620
-3.135 7.835 -0.484
-5.088 6.521 1.743
! symmetry = R-3m
! energy of formation = 0.722 eV per atom
! size of the total moment = 0.0 Bohr magnetons per cell
! energy above the lowest structure with this stoichiometry = 0.6295 eV/atom
! VASP energy = -3.607 eV per atom


Record 19
! BeTl2Ir (PBE-GGA, optimized geometry); values from VASP
&SYSTEM
  ibrav = 0, nat = 4, ntyp = 3
/
ATOMIC_SPECIES
Be 9.01 Be.upf
Tl 204.38 Tl.upf
Ir 192.22 Ir.upf
ATOMIC_POSITIONS angstrom
Be -0.684 -1.756 -1.969
Tl 0.061 -0.044 -0.027
Tl 0.711 -2.895 0.036
Ir 0.088 -4.695 -1.961
CELL_PARAMETERS angstrom
-2.140 -0.574 -3.947
2.779 -0.975 -1.365
-1.235 -4.902 1.382
! symmetry = P2/m
! energy of formation = 0.748 eV per atom
! size of the total moment = 0.0 Bohr magnetons per cell
! energy above the lowest structure with this stoichiometry = 0.6552 eV/atom
! VASP energy = -3.582 eV per atom


Record 20
! Be2TlIr (PBE-GGA, optimized geometry); values from VASP
&SYSTEM
  ibrav = 0, nat = 4, ntyp = 3
/
ATOMIC_SPECIES
Be 9.01 Be.upf
Tl 204.38 Tl.upf
Ir 192.22 Ir.upf
ATOMIC_POSITIONS angstrom
Be 0.035 -0.133 0.331
Be -1.287 -2.131 0.998
Tl -0.987 -3.285 3.867
Ir 0.243 -0.932 2.316
CELL_PARAMETERS angstrom
-3.038 -0.255 0.216
0.155 -2.826 -1.153
0.590 -2.266 5.633
! symmetry = P4mm
! energy of formation = 0.154 eV per atom
! size of the total moment = 0.0 Bohr magnetons per cell
! energy above the lowest structure with this stoichiometry = 0.2072 eV/atom
! VASP energy = -4.516 eV per atom